VASP calculation (PBE with a Hubbard U) on a relaxed Co3PdO crystal. Values from VASP.

Results
Calculated volume: 12.226 Å³/atom
ΔE to the lowest computed polymorph: 0.0 kJ/mol of atoms
E: -4.970 eV/atom
Fermi-level density of states: 4.1 states/eV/cell
M_tot: 5.26 μB/cell

Quantum ESPRESSO input file:
```
&SYSTEM
  ibrav = 0, nat = 5, ntyp = 3
/
ATOMIC_SPECIES
Co 58.93 Co.upf
O 16.00 O.upf
Pd 106.42 Pd.upf
ATOMIC_POSITIONS crystal
Co 0.500 0.000 0.000
Co 0.000 0.500 0.000
Co 0.000 0.000 0.500
O 0.000 0.000 0.000
Pd 0.500 0.500 0.500
CELL_PARAMETERS angstrom
-2.663 1.807 2.272
-0.542 -3.339 2.019
2.852 1.052 2.506
```